1.
This record from Alexandria via LeMat-Bulk describes crystalline Ba3PmNp2O9 at its relaxed geometry. The functional is GGA-PBE.

Values from the calculation:
Total DFT energy (no corrections) in eV/atom: -8.4136
SG: No. 164
Crystal system: trigonal
ΔE_f (raw) in eV/f.u.: -45.18

a = 6.2842 Å, b = 6.2842 Å, c = 7.6981 Å
α = 90.00°, β = 90.00°, γ = 120.00°
Each line ends with the local moment (μB).
Element x y z (fractional)
1 O 0.8272 0.1728 0.6749  -0.04
2 O 0.0000 0.5000 0.0000  -0.07
3 O 0.8272 0.6543 0.6749  -0.04
4 O 0.1728 0.3457 0.3251  -0.04
5 O 0.5000 0.0000 0.0000  -0.07
6 O 0.1728 0.8272 0.3251  -0.04
7 O 0.5000 0.5000 0.0000  -0.07
8 O 0.3457 0.1728 0.6749  -0.04
9 O 0.6543 0.8272 0.3251  -0.04
10 Np 0.6667 0.3333 0.8367  2.63
11 Np 0.3333 0.6667 0.1633  2.63
12 Ba 0.6667 0.3333 0.3398  0.01
13 Ba 0.0000 0.0000 0.0000  0.02
14 Ba 0.3333 0.6667 0.6602  0.01
15 Pm 0.0000 0.0000 0.5000  0.00

***

2.
This record from Alexandria via LeMat-Bulk describes crystalline Ba2PmNpO6 at its relaxed geometry. The functional is GGA-PBE.

Values from the calculation:
Total DFT energy (no corrections) in eV/atom: -8.1639
SG: No. 59
Crystal system: orthorhombic
ΔE_f (raw) in eV/f.u.: -30.35

a = 6.2908 Å, b = 6.3119 Å, c = 8.9007 Å
α = 90.00°, β = 90.00°, γ = 90.00°
Each line ends with the local moment (μB).
Element x y z (fractional)
1 O 0.2428 0.5177 0.0000  -0.04
2 O 0.5000 0.2330 0.7406  -0.04
3 O 0.2611 0.0038 0.5000  -0.04
4 O 0.7572 0.5177 0.0000  -0.04
5 O 0.2389 0.9962 0.0000  -0.04
6 O 0.0000 0.7670 0.7594  -0.04
7 O 0.2572 0.4823 0.5000  -0.04
8 O 0.5000 0.2330 0.2594  -0.04
9 O 0.7428 0.4823 0.5000  -0.04
10 O 0.0000 0.7670 0.2406  -0.04
11 O 0.7611 0.9962 0.0000  -0.04
12 O 0.7389 0.0038 0.5000  -0.04
13 Ba 0.5000 0.7637 0.7517  0.01
14 Ba 0.0000 0.2363 0.2517  0.01
15 Ba 0.5000 0.7637 0.2483  0.01
16 Ba 0.0000 0.2363 0.7483  0.01
17 Np 0.0000 0.7545 0.0000  2.17
18 Np 0.5000 0.2455 0.5000  2.17
19 Pm 0.0000 0.7425 0.5000  0.00
20 Pm 0.5000 0.2575 0.0000  0.00

***

3.
This record from Alexandria via LeMat-Bulk describes crystalline Ba3PrNp2O9 at its relaxed geometry. The functional is GGA-PBE.

Values from the calculation:
Total DFT energy (no corrections) in eV/atom: -8.3846
SG: No. 164
Crystal system: trigonal
ΔE_f (raw) in eV/f.u.: -44.72

a = 6.3159 Å, b = 6.3159 Å, c = 7.7387 Å
α = 90.00°, β = 90.00°, γ = 120.00°
Each line ends with the local moment (μB).
Element x y z (fractional)
1 O 0.8260 0.1740 0.6776  -0.04
2 O 0.5000 0.5000 0.0000  -0.07
3 O 0.6521 0.8260 0.3224  -0.04
4 O 0.0000 0.5000 0.0000  -0.07
5 O 0.5000 0.0000 0.0000  -0.07
6 O 0.1740 0.8260 0.3224  -0.04
7 O 0.3479 0.1740 0.6776  -0.04
8 O 0.1740 0.3479 0.3224  -0.04
9 O 0.8260 0.6521 0.6776  -0.04
10 Pr 0.0000 0.0000 0.5000  0.01
11 Np 0.3333 0.6667 0.1616  2.63
12 Np 0.6667 0.3333 0.8384  2.63
13 Ba 0.3333 0.6667 0.6631  0.01
14 Ba 0.0000 0.0000 0.0000  0.02
15 Ba 0.6667 0.3333 0.3369  0.01

***

4.
This record from Alexandria via LeMat-Bulk describes crystalline BaPr2NpO8 at its relaxed geometry. The functional is GGA-PBE.

Values from the calculation:
Total DFT energy (no corrections) in eV/atom: -8.1336
SG: No. 10
Crystal system: monoclinic
ΔE_f (raw) in eV/f.u.: -33.51

a = 4.2219 Å, b = 5.5375 Å, c = 8.0537 Å
α = 90.00°, β = 90.00°, γ = 96.19°
Each line ends with the local moment (μB).
Element x y z (fractional)
1 Np 0.0000 0.0000 0.0000  -0.01
2 Ba 0.0000 0.0000 0.5000  0.03
3 O 0.4305 0.2170 0.0000  0.00
4 O 0.0447 0.7647 0.8042  0.00
5 O 0.9553 0.2352 0.8042  0.00
6 O 0.4695 0.6989 0.5000  0.42
7 O 0.0447 0.7648 0.1958  0.00
8 O 0.9553 0.2353 0.1958  0.00
9 O 0.5305 0.3011 0.5000  0.42
10 O 0.5695 0.7830 0.0000  0.00
11 Pr 0.5000 0.5000 0.2342  -0.01
12 Pr 0.5000 0.5000 0.7658  -0.01

***

5.
This record from Alexandria via LeMat-Bulk describes crystalline Ba2NpPt3O12 at its relaxed geometry. The functional is GGA-PBE.

Values from the calculation:
Total DFT energy (no corrections) in eV/atom: -6.7658
SG: No. 166
Crystal system: trigonal
ΔE_f (raw) in eV/f.u.: -27.38

a = 7.4361 Å, b = 7.4361 Å, c = 7.4361 Å
α = 57.74°, β = 57.74°, γ = 57.74°
Each line ends with the local moment (μB).
Element x y z (fractional)
1 Ba 0.3958 0.3958 0.3958  0.00
2 Ba 0.6042 0.6042 0.6042  0.00
3 O 0.9231 0.3343 0.9231  0.02
4 O 0.6648 0.0984 0.6648  0.12
5 O 0.3343 0.9231 0.9231  0.02
6 O 0.6648 0.6648 0.0984  0.12
7 O 0.3352 0.3352 0.9016  0.12
8 O 0.9016 0.3352 0.3352  0.12
9 O 0.9231 0.9231 0.3343  0.02
10 O 0.6657 0.0769 0.0769  0.02
11 O 0.0769 0.0769 0.6657  0.02
12 O 0.0984 0.6648 0.6648  0.12
13 O 0.0769 0.6657 0.0769  0.02
14 O 0.3352 0.9016 0.3352  0.12
15 Pt 0.0000 0.0000 0.5000  0.18
16 Pt 0.5000 0.0000 0.0000  0.18
17 Pt 0.0000 0.5000 0.0000  0.18
18 Np 0.0000 0.0000 0.0000  -0.53

***

6.
This record from Alexandria via LeMat-Bulk describes crystalline Ba2NpPtO6 at its relaxed geometry. The functional is GGA-PBE.

Values from the calculation:
Total DFT energy (no corrections) in eV/atom: -7.6797
SG: No. 12
Crystal system: monoclinic
ΔE_f (raw) in eV/f.u.: -24.22

a = 5.7797 Å, b = 5.5360 Å, c = 6.7989 Å
α = 118.08°, β = 115.15°, γ = 90.01°
Each line ends with the local moment (μB).
Element x y z (fractional)
1 O 0.8153 0.8215 0.1130  -0.03
2 O 0.6805 0.6049 0.3615  -0.04
3 O 0.7030 0.1803 0.8869  -0.03
4 O 0.3193 0.3959 0.6381  -0.04
5 O 0.2968 0.8205 0.1126  -0.03
6 O 0.1845 0.1793 0.8866  -0.03
7 Pt 0.9999 0.0004 0.9998  -0.06
8 Ba 0.2360 0.7543 0.4720  0.00
9 Ba 0.7638 0.2465 0.5276  0.00
10 Np 0.4999 0.5004 0.9998  1.25

***

7.
This record from Alexandria via LeMat-Bulk describes crystalline Ba4Pu3NpO12 at its relaxed geometry. The functional is GGA-PBE.

Values from the calculation:
Total DFT energy (no corrections) in eV/atom: -9.1323
SG: No. 229
Crystal system: cubic
ΔE_f (raw) in eV/f.u.: -59.52

a = 7.6520 Å, b = 7.6520 Å, c = 7.6520 Å
α = 109.47°, β = 109.47°, γ = 109.47°
Each line ends with the local moment (μB).
Element x y z (fractional)
1 O 0.0000 0.7546 0.7546  -0.08
2 O 0.7500 0.5000 0.2500  -0.09
3 O 0.2454 0.0000 0.2454  -0.08
4 O 0.2500 0.5000 0.7500  -0.09
5 O 0.5000 0.7500 0.2500  -0.09
6 O 0.0000 0.2454 0.2454  -0.08
7 O 0.7546 0.0000 0.7546  -0.08
8 O 0.2454 0.2454 0.0000  -0.08
9 O 0.2500 0.7500 0.5000  -0.09
10 O 0.7500 0.2500 0.5000  -0.09
11 O 0.7546 0.7546 0.0000  -0.08
12 O 0.5000 0.2500 0.7500  -0.09
13 Ba 0.0000 0.5000 0.0000  0.03
14 Ba 0.5000 0.5000 0.5000  0.03
15 Ba 0.0000 0.0000 0.5000  0.03
16 Ba 0.5000 0.0000 0.0000  0.03
17 Np 0.0000 0.0000 0.0000  2.61
18 Pu 0.5000 0.5000 0.0000  4.30
19 Pu 0.0000 0.5000 0.5000  4.30
20 Pu 0.5000 0.0000 0.5000  4.30

***

8.
This record from Alexandria via LeMat-Bulk describes crystalline Rb3BaNp2O9 at its relaxed geometry. The functional is GGA-PBE.

Values from the calculation:
Total DFT energy (no corrections) in eV/atom: -7.5211
SG: No. 164
Crystal system: trigonal
ΔE_f (raw) in eV/f.u.: -37.49

a = 6.3431 Å, b = 6.3431 Å, c = 7.9437 Å
α = 90.00°, β = 90.00°, γ = 120.00°
Each line ends with the local moment (μB).
Element x y z (fractional)
1 O 0.6260 0.8130 0.2936  -0.03
2 O 0.3740 0.1870 0.7064  -0.03
3 O 0.5000 0.0000 0.0000  -0.03
4 O 0.8130 0.6260 0.7064  -0.03
5 O 0.0000 0.5000 0.0000  -0.03
6 O 0.8130 0.1870 0.7064  -0.03
7 O 0.5000 0.5000 0.0000  -0.03
8 O 0.1870 0.8130 0.2936  -0.03
9 O 0.1870 0.3740 0.2936  -0.03
10 Np 0.3333 0.6667 0.1492  0.64
11 Np 0.6667 0.3333 0.8508  0.64
12 Rb 0.6667 0.3333 0.3290  0.00
13 Rb 0.0000 0.0000 0.0000  0.00
14 Rb 0.3333 0.6667 0.6710  0.00
15 Ba 0.0000 0.0000 0.5000  -0.01

***

9.
This record from Alexandria via LeMat-Bulk describes crystalline Rb2BaNpO6 at its relaxed geometry. The functional is GGA-PBE.

Values from the calculation:
Total DFT energy (no corrections) in eV/atom: -6.9135
SG: No. 225
Crystal system: cubic
ΔE_f (raw) in eV/f.u.: -22.59

a = 6.5453 Å, b = 6.5476 Å, c = 6.5452 Å
α = 59.98°, β = 60.03°, γ = 90.00°
Each line ends with the local moment (μB).
Element x y z (fractional)
1 Ba 0.0000 0.0000 0.0000  0.01
2 Rb 0.2503 0.7498 0.5002  0.00
3 Rb 0.7497 0.2502 0.4998  0.00
4 O 0.7160 0.7159 0.0003  0.12
5 O 0.7160 0.7160 0.5677  0.12
6 O 0.2840 0.7161 0.9997  0.12
7 O 0.7160 0.2839 0.0003  0.12
8 O 0.2840 0.2841 0.9997  0.12
9 O 0.2840 0.2840 0.4323  0.12
10 Np 0.5000 0.5000 0.0000  0.09